Entry from Alexandria via LeMat-Bulk: crystalline GaS2Br at its relaxed geometry (PBE).

Cell: 4.789 6.140 8.045 Å, 90.00 94.21 90.00°
Fractional coordinates of all 8 atoms:
Ga 0.103 0.000 0.364
Ga 0.897 0.500 0.636
S 0.276 0.687 0.518
S 0.439 0.228 0.277
S 0.561 0.728 0.723
S 0.724 0.187 0.482
Br 0.123 0.267 0.833
Br 0.877 0.767 0.167

Summary:
The value obtained for the formation energy without anion corrections is -0.424 eV/atom. The value obtained for the total magnetic moment is 0.00 μB/f.u. For the energy above the most stable polymorph in this dataset, the calculation gives 0 meV per atom.


Entry from Alexandria via LeMat-Bulk: crystalline Ga2S6Br at its relaxed geometry (PBE).

Cell: 7.442 7.442 12.090 Å, 97.36 97.36 51.12°
Fractional coordinates of all 18 atoms:
Ga 0.126 0.263 0.295
Ga 0.263 0.126 0.795
Ga 0.737 0.874 0.205
Ga 0.874 0.737 0.705
S 0.002 0.494 0.158
S 0.021 0.622 0.526
S 0.378 0.979 0.974
S 0.443 0.472 0.055
S 0.472 0.443 0.555
S 0.494 0.002 0.658
S 0.506 0.998 0.342
S 0.528 0.557 0.445
S 0.557 0.528 0.945
S 0.622 0.021 0.026
S 0.979 0.378 0.474
S 0.998 0.506 0.842
Br 0.010 0.990 0.250
Br 0.990 0.010 0.750

Summary:
The value obtained for the formation energy without anion corrections is -0.202 eV/atom. The value obtained for the total magnetic moment is 1.02 μB/f.u.


Entry from Alexandria via LeMat-Bulk: crystalline Ga2S2Br at its relaxed geometry (PBE).

Cell: 7.326 7.326 7.326 Å, 115.59 115.59 97.82°
Fractional coordinates of all 10 atoms:
Ga 0.301 0.000 0.301
Ga 0.699 0.000 0.699
Ga 0.750 0.551 0.801
Ga 0.750 0.949 0.199
S 0.512 0.242 0.730
S 0.512 0.781 0.270
S 0.531 0.762 0.770
S 0.992 0.762 0.230
Br 0.109 0.109 0.000
Br 0.859 0.359 0.500

Summary:
The value obtained for the formation energy without anion corrections is -0.492 eV/atom. The value obtained for the total magnetic moment is 0.00 μB/f.u.


Entry from Alexandria via LeMat-Bulk: crystalline GaS8Br2 at its relaxed geometry (PBE).

Cell: 8.070 8.070 9.053 Å, 120.77 120.77 44.50°
Fractional coordinates of all 11 atoms:
Ga 0.000 0.000 0.000
S 0.164 0.644 0.737
S 0.331 0.331 0.815
S 0.356 0.836 0.263
S 0.483 0.483 0.673
S 0.517 0.517 0.327
S 0.644 0.164 0.737
S 0.669 0.669 0.185
S 0.836 0.356 0.263
Br 0.196 0.196 0.098
Br 0.804 0.804 0.902

Summary:
The value obtained for the formation energy without anion corrections is 0.155 eV/atom. The value obtained for the total magnetic moment is 0.00 μB/f.u.


Entry from Alexandria via LeMat-Bulk: crystalline GaS2Br at its relaxed geometry (PBE).

Cell: 7.769 7.769 7.769 Å, 27.77 27.77 27.77°
Fractional coordinates of all 4 atoms:
Ga 0.000 0.000 0.000
S 0.390 0.390 0.390
S 0.610 0.610 0.610
Br 0.500 0.500 0.500

Summary:
The value obtained for the formation energy without anion corrections is -0.251 eV/atom. The value obtained for the total magnetic moment is 0.00 μB/f.u. For the energy above the most stable polymorph in this dataset, the calculation gives 173 meV per atom.


Entry from Alexandria via LeMat-Bulk: crystalline GaS6Br2 at its relaxed geometry (PBE).

Cell: 6.145 6.544 8.048 Å, 75.82 72.99 76.75°
Fractional coordinates of all 9 atoms:
Ga 0.000 0.000 0.000
S 0.160 0.151 0.191
S 0.240 0.416 0.020
S 0.251 0.639 0.144
S 0.749 0.361 0.856
S 0.760 0.584 0.980
S 0.840 0.849 0.809
Br 0.300 0.072 0.729
Br 0.700 0.928 0.271

Summary:
The value obtained for the formation energy without anion corrections is -0.080 eV/atom. The value obtained for the total magnetic moment is 0.00 μB/f.u.


Entry from Alexandria via LeMat-Bulk: crystalline GaS3Br at its relaxed geometry (PBE).

Cell: 4.208 4.675 7.508 Å, 94.30 97.23 93.40°
Fractional coordinates of all 5 atoms:
Ga 0.000 0.000 0.000
S 0.240 0.503 0.002
S 0.425 0.511 0.757
S 0.571 0.937 0.768
Br 0.901 0.040 0.299

Summary:
The value obtained for the formation energy without anion corrections is -0.247 eV/atom. The value obtained for the total magnetic moment is 0.00 μB/f.u. For the energy above the most stable polymorph in this dataset, the calculation gives 0 meV per atom.


Entry from Alexandria via LeMat-Bulk: crystalline GaSBr2 at its relaxed geometry (PBE).

Cell: 5.259 5.259 5.259 Å, 60.00 60.00 60.00°
Fractional coordinates of all 4 atoms:
Ga 0.000 0.000 0.000
S 0.500 0.500 0.500
Br 0.250 0.250 0.250
Br 0.750 0.750 0.750

Summary:
The value obtained for the formation energy without anion corrections is 0.390 eV/atom. The value obtained for the total magnetic moment is 2.77 μB/f.u. For the energy above the most stable polymorph in this dataset, the calculation gives 434 meV per atom.